# KPIN2

A geometry-optimized KPIN2 structure (PBE, Alexandria).

Output
relative energy among the computed polymorphs: 1125.1 meV per atom
total magnetization: 3.00 μB/f.u.
formation energy without anion corrections: 215 kJ per mole of atoms

a b c (Å): 5.215 5.215 6.990
angles (deg): 90.00 90.00 90.00
Fractional coordinates of all 5 atoms:
K 0.000 0.000 0.000
P 0.500 0.500 0.500
I 0.000 0.000 0.500
N 0.000 0.500 0.000
N 0.500 0.000 0.000

***

# PmMgScCu

A geometry-optimized PmMgScCu structure (PBE, Alexandria).

Output
formation energy: -0.12 eV/f.u.
total magnetization: 0.00 μB/f.u.

a b c (Å): 7.145 7.145 7.145
angles (deg): 90.00 90.00 90.00
Fractional coordinates of all 16 atoms:
Pm 0.000 0.000 0.000
Pm 0.000 0.500 0.500
Pm 0.500 0.000 0.500
Pm 0.500 0.500 0.000
Mg 0.250 0.250 0.750
Mg 0.250 0.750 0.250
Mg 0.750 0.250 0.250
Mg 0.750 0.750 0.750
Sc 0.000 0.000 0.500
Sc 0.000 0.500 0.000
Sc 0.500 0.000 0.000
Sc 0.500 0.500 0.500
Cu 0.250 0.250 0.250
Cu 0.250 0.750 0.750
Cu 0.750 0.250 0.750
Cu 0.750 0.750 0.250

***

# Sm2Ho4Ge3H2

A geometry-optimized Sm2Ho4Ge3H2 structure (PBE, Alexandria).

Output
total magnetization: 0.00 μB/f.u.
electronic total energy: -5.004 eV/atom

a b c (Å): 12.196 12.196 12.196
angles (deg): 158.51 158.51 30.58
Fractional coordinates of all 11 atoms:
Sm 0.201 0.201 0.000
Sm 0.799 0.799 0.000
Ho 0.080 0.580 0.500
Ho 0.420 0.920 0.500
Ho 0.580 0.080 0.500
Ho 0.920 0.420 0.500
Ge 0.330 0.330 0.000
Ge 0.500 0.500 0.000
Ge 0.670 0.670 0.000
H 0.097 0.097 0.000
H 0.903 0.903 0.000